The following is a DFT calculation (PBE) of Sc3Ni8Sn after structural relaxation.

Unit cell a=4.898 b=4.898 c=7.982 alpha=90.00 beta=90.00 gamma=120.00
Element x y z (fractional)
Sc (0.000, 0.000, 0.000)
Sc (0.000, 0.000, 0.380)
Sc (0.333, 0.667, 0.859)
Ni (0.003, 0.501, 0.185)
Ni (0.332, 0.166, 0.690)
Ni (0.499, 0.501, 0.185)
Ni (0.499, 0.997, 0.185)
Ni (0.667, 0.333, 0.437)
Ni (0.667, 0.333, 0.942)
Ni (0.834, 0.166, 0.690)
Ni (0.834, 0.668, 0.690)
Sn (0.333, 0.667, 0.491)

Values from the calculation:
ΔH_f (0 K) = -458 meV per atom
symmetry = P3m1
polymorph energy (0 for the lowest one) = 13 meV per atom